Entry 1:
{
  "formula": "AcYTl",
  "functional": "GGA-PBE",
  "state": "optimized geometry",
  "cell": [[-0.5096, 4.4297, 2.1652], [-0.3063, -2.2003, 4.4311], [8.4884, 0.5524, 0.8557]],
  "species": ["Tl", "Tl", "Y", "Y", "Ac", "Ac"],
  "frac_coords": [[0.3133, 0.3662, 0.6746], [0.8139, 0.8668, 0.1646], [0.8136, 0.3664, 0.9196], [0.3135, 0.8665, 0.9196], [0.3139, 0.3668, 0.2731], [0.8133, 0.8662, 0.5661]],
  "formation_energy_ev_per_fu": -0.8,
  "dft_energy_ev_per_cell": -27.501,
  "density_g_cm3": 8.2,
  "m_tot_mub_per_cell": 2.016,
  "n_ef_per_ev_fu": 3.17,
  "relative_energy_ev_per_fu": 0.000
}

Entry 2:
{
  "formula": "Ac2YTl4",
  "functional": "GGA-PBE",
  "state": "optimized geometry",
  "cell": [[5.2877, 0.0000, -1.6856], [-0.5373, 5.2604, -1.6856], [-0.1402, -0.1553, 8.6968]],
  "species": ["Tl", "Tl", "Tl", "Tl", "Y", "Ac", "Ac"],
  "frac_coords": [[0.6047, 0.1047, 0.2094], [0.3953, 0.8953, 0.7906], [0.1047, 0.6047, 0.2094], [0.8953, 0.3953, 0.7906], [0.0000, 0.0000, 0.0000], [0.2541, 0.2541, 0.5082], [0.7459, 0.7459, 0.4918]],
  "formation_energy_ev_per_fu": -1.6,
  "dft_energy_ev_per_cell": -25.718,
  "density_g_cm3": 9.4,
  "m_tot_mub_per_cell": 0.000,
  "n_ef_per_ev_fu": 6.20
}